(1)
Here is Sm7Pb4O after structural relaxation from the Alexandria database. Energies are from GGA-PBE.

a = 8.8255 Å, b = 8.8255 Å, c = 11.2479 Å
α = 126.76°, β = 126.76°, γ = 33.96°
Closest atoms and distances in Å follow each position.
Fractional positions:
Sm 0.0000 0.0000 0.0000  2 O 2.58
Sm 0.1359 0.1359 0.5468  5 Pb 3.21-3.41
Sm 0.2887 0.2887 0.1446  4 Pb 3.10-3.28
Sm 0.4333 0.4333 0.7533  1 O 2.25
Sm 0.5667 0.5667 0.2467  1 O 2.25
Sm 0.7113 0.7113 0.8554  4 Pb 3.10-3.28
Sm 0.8641 0.8641 0.4532  5 Pb 3.21-3.41
Pb 0.0792 0.0792 0.7895  8 Sm 3.18-3.41
Pb 0.2208 0.2208 0.3450  7 Sm 3.10-3.36
Pb 0.7792 0.7792 0.6550  7 Sm 3.10-3.36
Pb 0.9208 0.9208 0.2105  8 Sm 3.18-3.41
O 0.5000 0.5000 0.0000  2 Sm 2.25

Calculated values
Raw formation energy: -848.2 kJ/mol of formula units
DOS(E_F): 0.75 states/eV/atom
Total moment: 0.782 Bohr magnetons per cell

(2)
Here is CaY2Ta after structural relaxation from the Alexandria database. Energies are from GGA-PBE.

a = 4.9022 Å, b = 4.9022 Å, c = 4.6082 Å
α = 90.00°, β = 90.00°, γ = 90.00°
Closest atoms and distances in Å follow each position.
Fractional positions:
Ca 0.0000 0.0000 0.0000  8 Y 3.36, 4 Ta 3.47
Y 0.0000 0.5000 0.5000  4 Ta 3.36, 4 Ca 3.36, 4 Y 3.47
Y 0.5000 0.0000 0.5000  4 Ta 3.36, 4 Ca 3.36, 4 Y 3.47
Ta 0.5000 0.5000 0.0000  8 Y 3.36, 4 Ca 3.47

Calculated values
E above lowest polymorph: 0.95 eV/f.u.
DOS(E_F): 1.56 states/eV/atom
Total moment: 0.001 Bohr magnetons per cell
Formation enthalpy at 0 K: 0.5273 eV/atom

(3)
Here is LaZnAs2 after structural relaxation from the Alexandria database. Energies are from GGA-PBE.

a = 4.0494 Å, b = 4.0494 Å, c = 6.1833 Å
α = 90.00°, β = 90.00°, γ = 90.00°
Closest atoms and distances in Å follow each position.
Fractional positions:
La 0.0000 0.0000 0.0000  6 As 2.98-3.21
Zn 0.5000 0.5000 0.4541  1 As 2.55
As 0.0000 0.0000 0.4812  4 Zn 2.87, 2 La 2.98-3.21
As 0.5000 0.5000 0.8667  1 Zn 2.55

Calculated values
DOS(E_F): 0.91 states/eV/atom
Total moment: 0.000 Bohr magnetons per cell
Formation enthalpy at 0 K: -0.4744 eV/atom

(4)
Here is LaTi2W after structural relaxation from the Alexandria database. Energies are from GGA-PBE.

a = 3.2674 Å, b = 3.2674 Å, c = 7.8484 Å
α = 90.00°, β = 90.00°, γ = 90.00°
Closest atoms and distances in Å follow each position.
Fractional positions:
La 0.0000 0.0000 0.0000  4 La 3.27, 8 Ti 3.40
Ti 0.5000 0.5000 0.3171  4 W 2.72, 1 Ti 2.87
Ti 0.5000 0.5000 0.6829  4 W 2.72, 1 Ti 2.87
W 0.0000 0.0000 0.5000  8 Ti 2.72

Calculated values
E above lowest polymorph: 0.00 eV/f.u.
DOS(E_F): 1.62 states/eV/atom
Total moment: 0.000 Bohr magnetons per cell
Formation enthalpy at 0 K: 0.1591 eV/atom

(5)
Here is Y2ScP after structural relaxation from the Alexandria database. Energies are from GGA-PBE.

a = 6.6565 Å, b = 6.6565 Å, c = 6.6565 Å
α = 100.90°, β = 100.90°, γ = 128.45°
Closest atoms and distances in Å follow each position.
Fractional positions:
Y 0.0580 0.6250 0.9330  2 P 2.72
Y 0.3750 0.3080 0.4330  2 P 2.72
Y 0.6920 0.1250 0.0670  2 P 2.72
Y 0.8750 0.9420 0.5670  2 P 2.72
Sc 0.2500 0.7500 0.5000  2 P 2.89
Sc 0.5000 0.5000 0.0000  2 P 2.89
P 0.0000 0.0000 0.0000  4 Y 2.72, 2 Sc 2.89
P 0.7500 0.2500 0.5000  4 Y 2.72, 2 Sc 2.89

Calculated values
DOS(E_F): 0.15 states/eV/atom
Total moment: 0.000 Bohr magnetons per cell
Formation enthalpy at 0 K: -0.3457 eV/atom

(6)
Here is HfGaH2 after structural relaxation from the Alexandria database. Energies are from GGA-PBE.

a = 3.9023 Å, b = 3.9023 Å, c = 3.9023 Å
α = 60.00°, β = 60.00°, γ = 60.00°
Closest atoms and distances in Å follow each position.
Fractional positions:
Hf 0.0000 0.0000 0.0000  8 H 2.39
Ga 0.5000 0.5000 0.5000  8 H 2.39
H 0.2500 0.2500 0.2500  4 Hf 2.39, 4 Ga 2.39
H 0.7500 0.7500 0.7500  4 Ga 2.39, 4 Hf 2.39

Calculated values
E above lowest polymorph: 2.08 eV/f.u.
DOS(E_F): 0.38 states/eV/atom
Total moment: 0.000 Bohr magnetons per cell

(7)
Here is HfAgSe2N after structural relaxation from the Alexandria database. Energies are from GGA-PBE.

a = 5.2641 Å, b = 5.2641 Å, c = 4.1267 Å
α = 90.00°, β = 90.00°, γ = 90.00°
Closest atoms and distances in Å follow each position.
Fractional positions:
Hf 0.0000 0.0000 0.0000  2 N 2.06
Ag 0.5000 0.5000 0.5000  8 Se 3.34, 4 N 3.72
Se 0.0000 0.5000 0.0000  2 Hf 2.63
Se 0.5000 0.0000 0.0000  2 Hf 2.63
N 0.0000 0.0000 0.5000  2 Hf 2.06

Calculated values
E above lowest polymorph: 0.00 eV/f.u.
Raw formation energy: -21.8 kJ/mol of formula units
DOS(E_F): 0.41 states/eV/atom
Total moment: 1.620 Bohr magnetons per cell

(8)
Here is LiSe after structural relaxation from the Alexandria database. Energies are from GGA-PBE.

a = 3.2718 Å, b = 3.2718 Å, c = 7.9129 Å
α = 90.00°, β = 90.00°, γ = 90.00°
Closest atoms and distances in Å follow each position.
Fractional positions:
Li 0.2500 0.2500 0.0984  5 Se 2.58-2.69, 4 Li 2.79
Li 0.7500 0.7500 0.9016  5 Se 2.58-2.69, 4 Li 2.79
Se 0.2500 0.2500 0.7582  5 Li 2.58-2.69
Se 0.7500 0.7500 0.2418  5 Li 2.58-2.69

Calculated values
E above lowest polymorph: 0.62 eV/f.u.
Raw formation energy: -115.7 kJ/mol of formula units
DOS(E_F): 0.42 states/eV/atom
Total moment: 0.000 Bohr magnetons per cell